one | An optimized crystal structure of TbPu2Mg. Source: the Alexandria database, functional PBE-GGA.

Computed properties:
D(E_F), states/eV per atom: 3.3212

Structure (CIF):
```
data_TbPu2Mg
_cell_length_a 4.5547
_cell_length_b 4.5547
_cell_length_c 5.2368
_cell_angle_alpha 90.00
_cell_angle_beta 90.00
_cell_angle_gamma 90.00
_space_group_name_H-M_alt 'P 4/m m m'
_space_group_IT_number 123
_space_group_name_Hall '-P 4 2'
loop_
_atom_site_label
_atom_site_type_symbol
_atom_site_fract_x
_atom_site_fract_y
_atom_site_fract_z
Tb1 Tb 0.0000 0.0000 0.0000
Pu1 Pu 0.0000 0.5000 0.5000
Mg1 Mg 0.5000 0.5000 0.0000
```

=====

two | An optimized crystal structure of TbPu2Mg. Source: the Alexandria database, functional PBE-GGA.

Computed properties:
D(E_F), states/eV per atom: 3.5775

Structure (CIF):
```
data_TbPu2Mg
_cell_length_a 4.1216
_cell_length_b 4.1216
_cell_length_c 6.6592
_cell_angle_alpha 90.00
_cell_angle_beta 90.00
_cell_angle_gamma 90.00
_space_group_name_H-M_alt 'P 4/m m m'
_space_group_IT_number 123
_space_group_name_Hall '-P 4 2'
loop_
_atom_site_label
_atom_site_type_symbol
_atom_site_fract_x
_atom_site_fract_y
_atom_site_fract_z
Tb1 Tb 0.0000 0.0000 0.0000
Pu1 Pu 0.5000 0.5000 0.2637
Mg1 Mg 0.0000 0.0000 0.5000
```

=====

Relative to the most stable one, in kJ/mol of atoms, the structures come out at one 0.0; two 11.3.